Rb3Ho2InS6 (GGA-PBE, optimized geometry); formation energy (no corrections) = -1.500 eV per atom; total magnetic moment = 0.0 μB per cell
1.0
3.492 -6.048 0.000
3.492 6.048 0.000
-2.330 0.000 7.692
Rb Ho In S
3 2 1 6
Direct
0.000 0.000 0.000
0.333 0.667 0.000
0.667 0.333 0.000
0.167 0.833 0.500
0.833 0.167 0.500
0.500 0.500 0.500
0.108 0.437 0.310
0.235 0.235 0.691
0.437 0.108 0.310
0.563 0.892 0.690
0.765 0.765 0.309
0.892 0.563 0.690